CaNd2VO6 | Alexandria | GGA+U | relaxed; space group = P2_1/c, No. 14; magnetic moment = 1.00 μB per formula unit; calculated volume = 267.6 Å³ per cell; electronic total energy = -0.573 Ry per atom
1.0
5.6185 0.0000 -0.0089
0.0000 5.9378 0.0000
0.0349 0.0000 8.0202
Nd Ca O V
4 2 12 2
Direct
0.0229 0.9385 0.2535
0.4771 0.4385 0.2465
0.9771 0.0615 0.7465
0.5229 0.5615 0.7535
0.0000 0.5000 0.5000
0.5000 0.0000 0.0000
0.2138 0.1822 0.4444
0.1772 0.2173 0.0715
0.8826 0.5474 0.2236
0.3228 0.7173 0.4285
0.6772 0.2827 0.5715
0.3826 0.9526 0.7236
0.2862 0.6822 0.0556
0.1174 0.4526 0.7764
0.7138 0.3178 0.9444
0.6174 0.0474 0.2764
0.7862 0.8178 0.5556
0.8228 0.7827 0.9285
0.5000 0.0000 0.5000
0.0000 0.5000 0.0000